No. 1
A relaxed Nb3MoAu crystal. Source: Alexandria, functional PBE.

a b c (Å): 4.792 4.792 4.792
angles (deg): 90.00 90.00 90.00
Fractional coordinates of all 5 atoms:
Nb  0.500  0.000  0.000
Mo  0.000  0.000  0.000
Nb  0.000  0.000  0.500
Nb  0.000  0.500  0.000
Au  0.500  0.500  0.500

DOS at the Fermi energy   6.87 states/eV/f.u.
Symmetry   No. 221
Formation energy from the elements   1.18 eV/atom

***

No. 2
A relaxed Nb3MoAu crystal. Source: Alexandria, functional PBE.

a b c (Å): 4.910 4.910 4.910
angles (deg): 90.00 90.00 90.00
Site moments in Bohr magnetons follow the coordinates.
Fractional coordinates of all 5 atoms:
Mo  0.500  0.500  0.500  2.04
Nb  0.000  0.000  0.500  -0.23
Au  0.000  0.000  0.000  0.01
Nb  0.000  0.500  0.000  -0.25
Nb  0.500  0.000  0.000  -0.33

DOS at the Fermi energy   6.96 states/eV/f.u.
Symmetry   No. 221
Formation energy from the elements   1.92 eV/atom

***

No. 3
A relaxed NbMoAu crystal. Source: Alexandria, functional PBE.

a b c (Å): 3.133 3.142 11.138
angles (deg): 73.55 90.00 90.00
Fractional coordinates of all 6 atoms:
Au  0.750  0.341  0.409
Nb  0.750  0.985  0.764
Nb  0.250  0.015  0.236
Mo  0.250  0.319  0.932
Au  0.250  0.659  0.591
Mo  0.750  0.681  0.068

DOS at the Fermi energy   2.57 states/eV/f.u.
Symmetry   No. 11
Formation energy from the elements   -0.02 eV/atom

***

No. 4
A relaxed NbMo3Au crystal. Source: Alexandria, functional PBE.

a b c (Å): 4.793 4.793 4.793
angles (deg): 90.00 90.00 90.00
Fractional coordinates of all 5 atoms:
Mo  0.500  0.000  0.000
Au  0.000  0.000  0.000
Mo  0.000  0.500  0.000
Nb  0.500  0.500  0.500
Mo  0.000  0.000  0.500

DOS at the Fermi energy   10.70 states/eV/f.u.
Symmetry   No. 221
Formation energy from the elements   2.26 eV/atom

***

No. 5
A relaxed NbMoAu3 crystal. Source: Alexandria, functional PBE.

a b c (Å): 5.083 5.083 5.083
angles (deg): 90.00 90.00 90.00
Site moments in Bohr magnetons follow the coordinates.
Fractional coordinates of all 5 atoms:
Au  0.000  0.500  0.000  0.01
Nb  0.000  0.000  0.000  -0.04
Au  0.000  0.000  0.500  0.06
Mo  0.500  0.500  0.500  3.68
Au  0.500  0.000  0.000  0.01

DOS at the Fermi energy   3.86 states/eV/f.u.
Symmetry   No. 221
Formation energy from the elements   1.49 eV/atom

***

No. 6
A relaxed NbMoAu crystal. Source: Alexandria, functional PBE.

a b c (Å): 5.264 5.264 5.675
angles (deg): 120.46 120.46 54.34
Fractional coordinates of all 6 atoms:
Au  0.838  0.838  0.734
Nb  0.171  0.171  0.768
Nb  0.829  0.829  0.232
Mo  0.488  0.488  0.258
Au  0.162  0.162  0.266
Mo  0.512  0.512  0.742

DOS at the Fermi energy   3.29 states/eV/f.u.
Symmetry   No. 12
Formation energy from the elements   0.16 eV/atom

***

The records above yield DFT total energy values of -7.68 -6.95 -8.08 -6.91 -4.66 -7.90 eV/atom, respectively.